# Pm4Mg3Ni, optimized geometry, DFT PBE
# DFT total energy (eV/atom): -3.83
# Total magnetic moment (μB/f.u.): 0.00
# Energy of formation from the pure elements (kJ per mole of atoms): -12.5
data_Pm4Mg3Ni
_cell_length_a 3.691
_cell_length_b 3.691
_cell_length_c 15.672
_cell_angle_alpha 90.00
_cell_angle_beta 90.00
_cell_angle_gamma 90.00
_symmetry_space_group_name_H-M 'P 1'
_symmetry_Int_Tables_number 1
loop_
_symmetry_equiv_pos_as_xyz
'x,y,z'
loop_
_atom_site_label
_atom_site_type_symbol
_atom_site_fract_x
_atom_site_fract_y
_atom_site_fract_z
Ni1 Ni 0.500 0.500 0.000
Mg1 Mg 0.500 0.500 0.239
Mg2 Mg 0.500 0.500 0.500
Mg3 Mg 0.500 0.500 0.761
Pm1 Pm 0.000 0.000 0.897
Pm2 Pm 0.000 0.000 0.103
Pm3 Pm 0.000 0.000 0.370
Pm4 Pm 0.000 0.000 0.630

=====

# PaTcSbN, optimized geometry, DFT PBE
# DFT total energy (eV/atom): -8.86
# Total magnetic moment (μB/f.u.): 1.40
# Raw formation energy (kJ/mol of atoms): -75
data_PaTcSbN
_cell_length_a 4.064
_cell_length_b 4.064
_cell_length_c 8.940
_cell_angle_alpha 90.00
_cell_angle_beta 90.00
_cell_angle_gamma 90.00
_symmetry_space_group_name_H-M 'P 1'
_symmetry_Int_Tables_number 1
loop_
_symmetry_equiv_pos_as_xyz
'x,y,z'
loop_
_atom_site_label
_atom_site_type_symbol
_atom_site_fract_x
_atom_site_fract_y
_atom_site_fract_z
Pa1 Pa 0.000 0.500 0.873
Pa2 Pa 0.500 0.000 0.127
Tc1 Tc 0.000 0.000 0.500
Tc2 Tc 0.500 0.500 0.500
Sb1 Sb 0.500 0.000 0.693
Sb2 Sb 0.000 0.500 0.307
N1 N 0.500 0.500 0.000
N2 N 0.000 0.000 0.000

=====

# FeCu2Ag, optimized geometry, DFT PBE
# DFT total energy (eV/atom): -4.62
# Total magnetic moment (μB/f.u.): 2.85
# Offset from the most stable computed form (eV per formula unit): 0.34
# Energy of formation from the pure elements (kJ per mole of atoms): 24.6
data_FeCu2Ag
_cell_length_a 4.560
_cell_length_b 4.560
_cell_length_c 4.764
_cell_angle_alpha 81.03
_cell_angle_beta 81.03
_cell_angle_gamma 33.95
_symmetry_space_group_name_H-M 'P 1'
_symmetry_Int_Tables_number 1
loop_
_symmetry_equiv_pos_as_xyz
'x,y,z'
loop_
_atom_site_label
_atom_site_type_symbol
_atom_site_fract_x
_atom_site_fract_y
_atom_site_fract_z
Ag1 Ag 0.750 0.750 0.750
Cu1 Cu 0.995 0.995 0.020
Cu2 Cu 0.505 0.505 0.480
Fe1 Fe 0.250 0.250 0.250

=====

# HfUH, optimized geometry, DFT PBE
# DFT total energy (eV/atom): -7.88
# Total magnetic moment (μB/f.u.): 0.94
# Offset from the most stable computed form (eV per formula unit): 0.56
data_HfUH
_cell_length_a 2.865
_cell_length_b 2.865
_cell_length_c 5.946
_cell_angle_alpha 103.94
_cell_angle_beta 103.94
_cell_angle_gamma 90.00
_symmetry_space_group_name_H-M 'P 1'
_symmetry_Int_Tables_number 1
loop_
_symmetry_equiv_pos_as_xyz
'x,y,z'
loop_
_atom_site_label
_atom_site_type_symbol
_atom_site_fract_x
_atom_site_fract_y
_atom_site_fract_z
U1 U 0.268 0.268 0.535
Hf1 Hf 0.996 0.996 0.992
H1 H 0.586 0.586 0.173

=====

# KMgMo2, optimized geometry, DFT PBE
# DFT total energy (eV/atom): -4.84
# Total magnetic moment (μB/f.u.): 0.57
# Energy of formation from the pure elements (kJ per mole of atoms): 120.3
data_KMgMo2
_cell_length_a 3.016
_cell_length_b 4.802
_cell_length_c 5.506
_cell_angle_alpha 90.00
_cell_angle_beta 90.00
_cell_angle_gamma 90.00
_symmetry_space_group_name_H-M 'P 1'
_symmetry_Int_Tables_number 1
loop_
_symmetry_equiv_pos_as_xyz
'x,y,z'
loop_
_atom_site_label
_atom_site_type_symbol
_atom_site_fract_x
_atom_site_fract_y
_atom_site_fract_z
K1 K 0.500 0.000 0.500
Mg1 Mg 0.000 0.500 0.500
Mo1 Mo 0.000 0.000 0.000
Mo2 Mo 0.500 0.500 0.000

=====

# Sr2MgF, optimized geometry, DFT PBE
# DFT total energy (eV/atom): -2.48
# Total magnetic moment (μB/f.u.): 0.00
# Offset from the most stable computed form (eV per formula unit): 2.17
# Raw formation energy (kJ/mol of atoms): -75
data_Sr2MgF
_cell_length_a 5.733
_cell_length_b 5.733
_cell_length_c 5.733
_cell_angle_alpha 60.00
_cell_angle_beta 60.00
_cell_angle_gamma 60.00
_symmetry_space_group_name_H-M 'P 1'
_symmetry_Int_Tables_number 1
loop_
_symmetry_equiv_pos_as_xyz
'x,y,z'
loop_
_atom_site_label
_atom_site_type_symbol
_atom_site_fract_x
_atom_site_fract_y
_atom_site_fract_z
Sr1 Sr 0.250 0.250 0.250
Sr2 Sr 0.750 0.750 0.750
Mg1 Mg 0.500 0.500 0.500
F1 F 0.000 0.000 0.000

=====

# Tm3ZrAg3S8, optimized geometry, DFT PBE
# DFT total energy (eV/atom): -5.56
# Total magnetic moment (μB/f.u.): 0.00
# Raw formation energy (kJ/mol of atoms): -127
data_Tm3ZrAg3S8
_cell_length_a 7.816
_cell_length_b 7.815
_cell_length_c 7.784
_cell_angle_alpha 120.40
_cell_angle_beta 90.00
_cell_angle_gamma 120.00
_symmetry_space_group_name_H-M 'P 1'
_symmetry_Int_Tables_number 1
loop_
_symmetry_equiv_pos_as_xyz
'x,y,z'
loop_
_atom_site_label
_atom_site_type_symbol
_atom_site_fract_x
_atom_site_fract_y
_atom_site_fract_z
Tm1 Tm 0.500 0.000 0.500
Tm2 Tm 0.500 0.500 0.500
Tm3 Tm 0.000 0.500 0.500
Zr1 Zr 0.000 0.000 0.500
Ag1 Ag 0.000 0.000 0.000
Ag2 Ag 0.000 0.500 0.000
Ag3 Ag 0.500 0.500 0.000
S1 S 0.254 0.508 0.264
S2 S 0.746 0.492 0.736
S3 S 0.763 0.525 0.273
S4 S 0.237 0.475 0.727
S5 S 0.763 0.008 0.272
S6 S 0.237 0.992 0.728
S7 S 0.245 0.008 0.272
S8 S 0.755 0.992 0.728

=====

# DyMgGaPd, optimized geometry, DFT PBE
# DFT total energy (eV/atom): -4.25
# Total magnetic moment (μB/f.u.): 0.00
# Energy of formation from the pure elements (kJ per mole of atoms): -62.3
data_DyMgGaPd
_cell_length_a 4.813
_cell_length_b 4.813
_cell_length_c 4.813
_cell_angle_alpha 60.00
_cell_angle_beta 60.00
_cell_angle_gamma 60.00
_symmetry_space_group_name_H-M 'P 1'
_symmetry_Int_Tables_number 1
loop_
_symmetry_equiv_pos_as_xyz
'x,y,z'
loop_
_atom_site_label
_atom_site_type_symbol
_atom_site_fract_x
_atom_site_fract_y
_atom_site_fract_z
Mg1 Mg 0.000 0.000 0.000
Ga1 Ga 0.250 0.250 0.250
Pd1 Pd 0.750 0.750 0.750
Dy1 Dy 0.500 0.500 0.500

=====

# PrThSb2N, optimized geometry, DFT PBE
# DFT total energy (eV/atom): -6.71
# Total magnetic moment (μB/f.u.): 0.00
# Raw formation energy (kJ/mol of atoms): -92
data_PrThSb2N
_cell_length_a 4.195
_cell_length_b 4.195
_cell_length_c 14.703
_cell_angle_alpha 90.00
_cell_angle_beta 90.00
_cell_angle_gamma 90.00
_symmetry_space_group_name_H-M 'P 1'
_symmetry_Int_Tables_number 1
loop_
_symmetry_equiv_pos_as_xyz
'x,y,z'
loop_
_atom_site_label
_atom_site_type_symbol
_atom_site_fract_x
_atom_site_fract_y
_atom_site_fract_z
Pr1 Pr 0.500 0.000 0.064
Pr2 Pr 0.000 0.500 0.936
Th1 Th 0.500 0.000 0.575
Th2 Th 0.000 0.500 0.425
Sb1 Sb 0.000 0.500 0.721
Sb2 Sb 0.000 0.500 0.160
Sb3 Sb 0.500 0.000 0.840
Sb4 Sb 0.500 0.000 0.279
N1 N 0.000 0.000 0.500
N2 N 0.500 0.500 0.500

=====

# TaFe3Ir, optimized geometry, DFT PBE
# DFT total energy (eV/atom): -7.60
# Total magnetic moment (μB/f.u.): 0.00
# Offset from the most stable computed form (eV per formula unit): 0.00
# Energy of formation from the pure elements (kJ per mole of atoms): 156.3
data_TaFe3Ir
_cell_length_a 4.370
_cell_length_b 4.370
_cell_length_c 4.370
_cell_angle_alpha 90.00
_cell_angle_beta 90.00
_cell_angle_gamma 90.00
_symmetry_space_group_name_H-M 'P 1'
_symmetry_Int_Tables_number 1
loop_
_symmetry_equiv_pos_as_xyz
'x,y,z'
loop_
_atom_site_label
_atom_site_type_symbol
_atom_site_fract_x
_atom_site_fract_y
_atom_site_fract_z
Ir1 Ir 0.000 0.000 0.000
Fe1 Fe 0.000 0.500 0.000
Fe2 Fe 0.000 0.000 0.500
Fe3 Fe 0.500 0.000 0.000
Ta1 Ta 0.500 0.500 0.500

=====

# CaLa2S3, optimized geometry, DFT PBE
# DFT total energy (eV/atom): -6.17
# Total magnetic moment (μB/f.u.): 0.00
# Raw formation energy (kJ/mol of atoms): -205
data_CaLa2S3
_cell_length_a 4.087
_cell_length_b 5.829
_cell_length_c 7.174
_cell_angle_alpha 113.97
_cell_angle_beta 106.55
_cell_angle_gamma 90.00
_symmetry_space_group_name_H-M 'P 1'
_symmetry_Int_Tables_number 1
loop_
_symmetry_equiv_pos_as_xyz
'x,y,z'
loop_
_atom_site_label
_atom_site_type_symbol
_atom_site_fract_x
_atom_site_fract_y
_atom_site_fract_z
Ca1 Ca 0.500 0.500 0.500
La1 La 0.833 0.833 0.166
La2 La 0.167 0.167 0.834
S1 S 0.840 0.340 0.180
S2 S 0.160 0.660 0.820
S3 S 0.500 0.000 0.500

=====

# PdIN2O, optimized geometry, DFT PBE
# DFT total energy (eV/atom): -3.89
# Total magnetic moment (μB/f.u.): 0.28
# Raw formation energy (kJ/mol of atoms): 171
data_PdIN2O
_cell_length_a 4.138
_cell_length_b 4.138
_cell_length_c 3.907
_cell_angle_alpha 90.00
_cell_angle_beta 90.00
_cell_angle_gamma 90.00
_symmetry_space_group_name_H-M 'P 1'
_symmetry_Int_Tables_number 1
loop_
_symmetry_equiv_pos_as_xyz
'x,y,z'
loop_
_atom_site_label
_atom_site_type_symbol
_atom_site_fract_x
_atom_site_fract_y
_atom_site_fract_z
I1 I 0.000 0.000 0.000
O1 O 0.000 0.000 0.500
Pd1 Pd 0.500 0.500 0.500
N1 N 0.000 0.500 0.000
N2 N 0.500 0.000 0.000

=====

# GdScCuTc, optimized geometry, DFT PBE
# DFT total energy (eV/atom): -8.84
# Total magnetic moment (μB/f.u.): 7.07
# Energy of formation from the pure elements (kJ per mole of atoms): -11.9
data_GdScCuTc
_cell_length_a 4.750
_cell_length_b 4.750
_cell_length_c 4.750
_cell_angle_alpha 60.00
_cell_angle_beta 60.00
_cell_angle_gamma 60.00
_symmetry_space_group_name_H-M 'P 1'
_symmetry_Int_Tables_number 1
loop_
_symmetry_equiv_pos_as_xyz
'x,y,z'
loop_
_atom_site_label
_atom_site_type_symbol
_atom_site_fract_x
_atom_site_fract_y
_atom_site_fract_z
Sc1 Sc 0.500 0.500 0.500
Gd1 Gd 0.000 0.000 0.000
Tc1 Tc 0.750 0.750 0.750
Cu1 Cu 0.250 0.250 0.250

=====

# Cr2SiHg, optimized geometry, DFT PBE
# DFT total energy (eV/atom): -5.83
# Total magnetic moment (μB/f.u.): 0.18
# Raw formation energy (kJ/mol of atoms): 40
data_Cr2SiHg
_cell_length_a 5.274
_cell_length_b 5.274
_cell_length_c 5.274
_cell_angle_alpha 146.41
_cell_angle_beta 129.48
_cell_angle_gamma 62.05
_symmetry_space_group_name_H-M 'P 1'
_symmetry_Int_Tables_number 1
loop_
_symmetry_equiv_pos_as_xyz
'x,y,z'
loop_
_atom_site_label
_atom_site_type_symbol
_atom_site_fract_x
_atom_site_fract_y
_atom_site_fract_z
Cr1 Cr 0.004 0.004 0.000
Cr2 Cr 0.774 0.274 0.500
Hg1 Hg 0.494 0.494 0.000
Si1 Si 0.228 0.728 0.500

=====

# MnRe3, optimized geometry, DFT PBE
# DFT total energy (eV/atom): -11.47
# Total magnetic moment (μB/f.u.): 2.50
# Energy of formation from the pure elements (kJ per mole of atoms): 15.1
data_MnRe3
_cell_length_a 4.305
_cell_length_b 5.131
_cell_length_c 2.676
_cell_angle_alpha 78.67
_cell_angle_beta 90.00
_cell_angle_gamma 90.00
_symmetry_space_group_name_H-M 'P 1'
_symmetry_Int_Tables_number 1
loop_
_symmetry_equiv_pos_as_xyz
'x,y,z'
loop_
_atom_site_label
_atom_site_type_symbol
_atom_site_fract_x
_atom_site_fract_y
_atom_site_fract_z
Mn1 Mn 0.000 0.000 0.000
Re1 Re 0.500 0.758 0.777
Re2 Re 0.000 0.500 0.500
Re3 Re 0.500 0.242 0.223

=====

# Cr2Ge, optimized geometry, DFT PBE
# DFT total energy (eV/atom): -7.95
# Total magnetic moment (μB/f.u.): 0.00
# Energy of formation from the pure elements (kJ per mole of atoms): 0.8
data_Cr2Ge
_cell_length_a 2.998
_cell_length_b 2.998
_cell_length_c 4.646
_cell_angle_alpha 108.89
_cell_angle_beta 108.89
_cell_angle_gamma 89.93
_symmetry_space_group_name_H-M 'P 1'
_symmetry_Int_Tables_number 1
loop_
_symmetry_equiv_pos_as_xyz
'x,y,z'
loop_
_atom_site_label
_atom_site_type_symbol
_atom_site_fract_x
_atom_site_fract_y
_atom_site_fract_z
Cr1 Cr 0.176 0.176 0.352
Cr2 Cr 0.824 0.824 0.648
Ge1 Ge 0.500 0.500 0.000

=====

# CuSn2GeO, optimized geometry, DFT PBE
# DFT total energy (eV/atom): -3.83
# Total magnetic moment (μB/f.u.): 0.00
# Raw formation energy (kJ/mol of atoms): 49
data_CuSn2GeO
_cell_length_a 5.052
_cell_length_b 4.450
_cell_length_c 5.052
_cell_angle_alpha 90.00
_cell_angle_beta 90.00
_cell_angle_gamma 90.00
_symmetry_space_group_name_H-M 'P 1'
_symmetry_Int_Tables_number 1
loop_
_symmetry_equiv_pos_as_xyz
'x,y,z'
loop_
_atom_site_label
_atom_site_type_symbol
_atom_site_fract_x
_atom_site_fract_y
_atom_site_fract_z
O1 O 0.500 0.500 0.500
Ge1 Ge 0.000 0.500 0.000
Sn1 Sn 0.000 0.000 0.500
Sn2 Sn 0.500 0.000 0.000
Cu1 Cu 0.000 0.000 0.000

=====

# CsAlBr2, optimized geometry, DFT PBE
# DFT total energy (eV/atom): -2.85
# Total magnetic moment (μB/f.u.): 0.00
# Offset from the most stable computed form (eV per formula unit): 0.00
# Raw formation energy (kJ/mol of atoms): -84
data_CsAlBr2
_cell_length_a 7.236
_cell_length_b 7.236
_cell_length_c 9.625
_cell_angle_alpha 67.92
_cell_angle_beta 67.92
_cell_angle_gamma 90.00
_symmetry_space_group_name_H-M 'P 1'
_symmetry_Int_Tables_number 1
loop_
_symmetry_equiv_pos_as_xyz
'x,y,z'
loop_
_atom_site_label
_atom_site_type_symbol
_atom_site_fract_x
_atom_site_fract_y
_atom_site_fract_z
Cs1 Cs 0.000 0.000 0.000
Cs2 Cs 0.750 0.250 0.500
Al1 Al 0.500 0.500 0.000
Al2 Al 0.250 0.750 0.500
Br1 Br 0.555 0.125 0.250
Br2 Br 0.195 0.625 0.250
Br3 Br 0.375 0.445 0.750
Br4 Br 0.875 0.805 0.750

=====

# DyCd8, optimized geometry, DFT PBE
# DFT total energy (eV/atom): -1.45
# Total magnetic moment (μB/f.u.): 0.00
# Energy of formation from the pure elements (kJ per mole of atoms): -12.0
data_DyCd8
_cell_length_a 4.598
_cell_length_b 7.083
_cell_length_c 7.083
_cell_angle_alpha 83.99
_cell_angle_beta 71.03
_cell_angle_gamma 71.03
_symmetry_space_group_name_H-M 'P 1'
_symmetry_Int_Tables_number 1
loop_
_symmetry_equiv_pos_as_xyz
'x,y,z'
loop_
_atom_site_label
_atom_site_type_symbol
_atom_site_fract_x
_atom_site_fract_y
_atom_site_fract_z
Dy1 Dy 0.000 0.000 0.000
Cd1 Cd 0.328 0.000 0.342
Cd2 Cd 0.672 0.000 0.658
Cd3 Cd 0.328 0.342 0.000
Cd4 Cd 0.660 0.338 0.338
Cd5 Cd 0.000 0.338 0.662
Cd6 Cd 0.000 0.662 0.338
Cd7 Cd 0.340 0.662 0.662
Cd8 Cd 0.672 0.658 0.000

=====

# KMg4Pb2, optimized geometry, DFT PBE
# DFT total energy (eV/atom): -1.53
# Total magnetic moment (μB/f.u.): 0.00
# Offset from the most stable computed form (eV per formula unit): 4.75
# Energy of formation from the pure elements (kJ per mole of atoms): 57.4
data_KMg4Pb2
_cell_length_a 5.623
_cell_length_b 5.623
_cell_length_c 8.951
_cell_angle_alpha 71.69
_cell_angle_beta 71.69
_cell_angle_gamma 90.00
_symmetry_space_group_name_H-M 'P 1'
_symmetry_Int_Tables_number 1
loop_
_symmetry_equiv_pos_as_xyz
'x,y,z'
loop_
_atom_site_label
_atom_site_type_symbol
_atom_site_fract_x
_atom_site_fract_y
_atom_site_fract_z
Pb1 Pb 0.607 0.607 0.787
Pb2 Pb 0.393 0.393 0.213
K1 K 0.000 0.000 0.000
Mg1 Mg 0.793 0.793 0.414
Mg2 Mg 0.207 0.207 0.586
Mg3 Mg 0.000 0.500 0.000
Mg4 Mg 0.500 0.000 0.000